[1]
This record from the Alexandria database describes an optimized crystal structure of CaSnMo3. The functional is PBE-GGA.

space-group type: Pm-3m
calculated formation energy: 40.87 kcal/mol of atoms
total magnetic moment: 0.0 Bohr magnetons per cell
electronic total energy: -0.2178 hartree per atom
density of states at the Fermi level: 9.06 states/eV/f.u.

Unit cell a=5.007 b=5.007 c=5.007 alpha=90.00 beta=90.00 gamma=90.00
Fractional positions:
Mo 0.000 0.500 0.000
Mo 0.500 0.000 0.000
Ca 0.500 0.500 0.500
Sn 0.000 0.000 0.000
Mo 0.000 0.000 0.500

[2]
This record from the Alexandria database describes an optimized crystal structure of PuThS. The functional is PBE-GGA.

space-group type: P4_2/m
total magnetic moment: 25.1 Bohr magnetons per cell
electronic total energy: -0.3488 hartree per atom
density of states at the Fermi level: 9.09 states/eV/f.u.

Unit cell a=3.841 b=9.463 c=9.463 alpha=90.00 beta=90.00 gamma=90.00
Fractional positions:
Pu 0.000 0.970 0.686
Pu 0.000 0.030 0.314
Pu 0.500 0.686 0.030
Th 0.000 0.545 0.733
Pu 0.500 0.314 0.970
Th 0.500 0.267 0.545
S 0.000 0.247 0.771
Th 0.500 0.733 0.455
Th 0.000 0.455 0.267
S 0.000 0.753 0.229
S 0.500 0.229 0.247
S 0.500 0.771 0.753

[3]
This record from the Alexandria database describes an optimized crystal structure of NaCdFeCl5. The functional is PBE-GGA.

space-group type: C2/c
total magnetic moment: 8.0 Bohr magnetons per cell
electronic total energy: -0.1315 hartree per atom
density of states at the Fermi level: 5.85 states/eV/f.u.

Unit cell a=7.129 b=7.129 c=9.452 alpha=103.74 beta=103.74 gamma=105.79
Fractional positions:
Cl 0.386 0.274 0.063
Cd 0.000 0.000 0.500
Na 0.346 0.654 0.250
Cd 0.000 0.000 0.000
Cl 0.066 0.660 0.862
Cl 0.660 0.066 0.362
Cl 0.614 0.726 0.937
Cl 0.902 0.098 0.750
Na 0.654 0.346 0.750
Fe 0.681 0.319 0.250
Fe 0.319 0.681 0.750
Cl 0.934 0.340 0.138
Cl 0.340 0.934 0.638
Cl 0.726 0.614 0.437
Cl 0.274 0.386 0.563
Cl 0.098 0.902 0.250

[4]
This record from the Alexandria database describes an optimized crystal structure of CaTiSiTe2. The functional is PBE-GGA.

space-group type: P4/mmm
total magnetic moment: 2.3 Bohr magnetons per cell
electronic total energy: -0.1426 hartree per atom
density of states at the Fermi level: 6.63 states/eV/f.u.

Unit cell a=5.436 b=5.197 c=5.436 alpha=90.00 beta=90.00 gamma=90.00
Fractional positions:
Te 0.000 0.000 0.500
Ti 0.500 0.500 0.500
Ca 0.000 0.500 0.000
Si 0.000 0.000 0.000
Te 0.500 0.000 0.000

[5]
This record from the Alexandria database describes an optimized crystal structure of KBPt3. The functional is PBE-GGA.

space-group type: C2/c
calculated formation energy: -2.21 kcal/mol of atoms
total magnetic moment: 0.0 Bohr magnetons per cell
electronic total energy: -0.1939 hartree per atom
density of states at the Fermi level: 2.41 states/eV/f.u.

Unit cell a=15.718 b=9.431 c=9.431 alpha=113.68 beta=142.83 gamma=37.17
Fractional positions:
K 0.750 0.595 0.095
Pt 0.901 0.807 0.310
Pt 0.232 0.184 0.206
Pt 0.599 0.810 0.307
Pt 0.214 0.893 0.978
Pt 0.732 0.294 0.316
K 0.250 0.405 0.905
Pt 0.786 0.107 0.022
Pt 0.268 0.706 0.684
Pt 0.401 0.190 0.693
B 0.439 0.738 0.030
K 0.750 0.116 0.616
K 0.250 0.884 0.384
Pt 0.286 0.478 0.393
Pt 0.714 0.522 0.607
Pt 0.099 0.193 0.690
B 0.561 0.262 0.970
B 0.939 0.470 0.762
Pt 0.768 0.816 0.794
B 0.061 0.530 0.238

[6]
This record from the Alexandria database describes an optimized crystal structure of Li2Mg2Au7. The functional is PBE-GGA.

space-group type: C2/m
calculated formation energy: -8.08 kcal/mol of atoms
total magnetic moment: 0.0 Bohr magnetons per cell
electronic total energy: -0.1130 hartree per atom
density of states at the Fermi level: 2.79 states/eV/f.u.

Unit cell a=6.738 b=4.808 c=6.738 alpha=82.02 beta=101.53 gamma=97.98
Fractional positions:
Au 0.968 0.763 0.391
Mg 0.787 0.500 0.787
Li 0.725 0.282 0.275
Au 0.000 0.000 0.000
Mg 0.213 0.500 0.213
Au 0.440 0.222 0.560
Au 0.391 0.237 0.968
Au 0.560 0.778 0.440
Li 0.275 0.718 0.725
Au 0.032 0.237 0.609
Au 0.609 0.763 0.032

[7]
This record from the Alexandria database describes an optimized crystal structure of EuYCdBi. The functional is PBE-GGA.

space-group type: F-43m
calculated formation energy: -11.03 kcal/mol of atoms
total magnetic moment: 7.9 Bohr magnetons per cell
electronic total energy: -0.2154 hartree per atom
density of states at the Fermi level: 4.23 states/eV/f.u.

Unit cell a=5.509 b=5.509 c=5.509 alpha=60.00 beta=60.00 gamma=60.00
Fractional positions:
Cd 0.500 0.500 0.500
Y 0.750 0.750 0.750
Eu 0.250 0.250 0.250
Bi 0.000 0.000 0.000

[8]
This record from the Alexandria database describes an optimized crystal structure of CeSn4Hg. The functional is PBE-GGA.

space-group type: F-43m
calculated formation energy: -4.06 kcal/mol of atoms
total magnetic moment: 1.0 Bohr magnetons per cell
electronic total energy: -0.1427 hartree per atom
density of states at the Fermi level: 9.09 states/eV/f.u.

Unit cell a=6.197 b=6.197 c=6.197 alpha=60.00 beta=60.00 gamma=60.00
Fractional positions:
Sn 0.625 0.625 0.625
Sn 0.125 0.625 0.625
Ce 0.250 0.250 0.250
Sn 0.625 0.125 0.625
Sn 0.625 0.625 0.125
Hg 0.000 0.000 0.000

[9]
This record from the Alexandria database describes an optimized crystal structure of As2Pb2Cl. The functional is PBE-GGA.

space-group type: P4/mbm
total magnetic moment: 0.0 Bohr magnetons per cell
electronic total energy: -0.1417 hartree per atom
density of states at the Fermi level: 3.36 states/eV/f.u.

Unit cell a=8.473 b=8.473 c=3.915 alpha=90.00 beta=90.00 gamma=90.00
Fractional positions:
Pb 0.174 0.326 0.000
Pb 0.326 0.826 0.000
As 0.397 0.103 0.500
As 0.897 0.397 0.500
As 0.103 0.603 0.500
Pb 0.674 0.174 0.000
Cl 0.000 0.000 0.000
Pb 0.826 0.674 0.000
As 0.603 0.897 0.500
Cl 0.500 0.500 0.000

[10]
This record from the Alexandria database describes an optimized crystal structure of Hf3H12Ru5. The functional is PBE-GGA.

space-group type: Ia-3d
total magnetic moment: 0.0 Bohr magnetons per cell
electronic total energy: -0.2196 hartree per atom
density of states at the Fermi level: 8.22 states/eV/f.u.

Unit cell a=9.582 b=9.582 c=9.582 alpha=109.47 beta=109.47 gamma=109.47
Fractional positions:
H 0.211 0.671 0.089
H 0.911 0.082 0.622
Ru 0.125 0.750 0.375
Hf 0.625 0.250 0.375
H 0.461 0.789 0.878
H 0.789 0.461 0.378
H 0.082 0.171 0.461
Hf 0.125 0.250 0.875
Hf 0.125 0.875 0.750
Ru 0.750 0.125 0.875
Ru 0.000 0.000 0.500
Hf 0.375 0.625 0.250
H 0.918 0.089 0.878
H 0.378 0.961 0.789
H 0.329 0.539 0.418
H 0.711 0.589 0.171
H 0.961 0.378 0.289
Hf 0.375 0.750 0.625
H 0.171 0.082 0.961
H 0.089 0.171 0.211
H 0.878 0.589 0.918
Ru 0.500 0.500 0.000
H 0.411 0.289 0.329
Hf 0.250 0.125 0.375
H 0.289 0.411 0.829
Ru 0.250 0.875 0.125
H 0.539 0.329 0.918
H 0.671 0.211 0.589
H 0.289 0.878 0.961
H 0.378 0.418 0.089
Ru 0.000 0.500 0.500
H 0.039 0.418 0.829
H 0.122 0.411 0.082
Ru 0.500 0.500 0.500
H 0.418 0.378 0.589
H 0.961 0.582 0.171
H 0.411 0.122 0.582
H 0.461 0.671 0.082
Hf 0.750 0.375 0.125
H 0.878 0.289 0.461
Ru 0.250 0.375 0.625
Hf 0.875 0.750 0.125
H 0.911 0.829 0.789
Ru 0.875 0.250 0.625
H 0.039 0.622 0.711
H 0.211 0.539 0.622
Ru 0.000 0.000 0.000
H 0.539 0.211 0.122
Hf 0.250 0.625 0.875
H 0.418 0.039 0.329
Ru 0.125 0.375 0.250
Ru 0.500 0.000 0.000
H 0.329 0.789 0.411
H 0.671 0.461 0.582
Ru 0.375 0.125 0.750
Ru 0.375 0.250 0.125
H 0.829 0.918 0.039
H 0.711 0.122 0.039
Hf 0.750 0.875 0.625
Ru 0.500 0.000 0.500
Ru 0.000 0.500 0.000
H 0.122 0.711 0.539
H 0.582 0.961 0.671
Ru 0.625 0.750 0.875
H 0.622 0.039 0.211
Hf 0.875 0.125 0.250
H 0.622 0.582 0.911
H 0.589 0.711 0.671
H 0.171 0.089 0.711
Ru 0.625 0.875 0.250
H 0.829 0.911 0.289
Hf 0.625 0.375 0.750
Ru 0.750 0.625 0.375
Ru 0.875 0.625 0.750
H 0.789 0.329 0.911
H 0.089 0.918 0.378
H 0.589 0.878 0.418
H 0.082 0.911 0.122
H 0.918 0.829 0.539
H 0.582 0.622 0.411

[11]
This record from the Alexandria database describes an optimized crystal structure of Nd2AsBr3. The functional is PBE-GGA.

space-group type: C2/m
total magnetic moment: 0.0 Bohr magnetons per cell
electronic total energy: -0.1779 hartree per atom
density of states at the Fermi level: 0.00 states/eV/f.u.

Unit cell a=4.519 b=9.025 c=11.211 alpha=79.13 beta=78.37 gamma=75.50
Fractional positions:
Br 0.659 0.692 0.990
Nd 0.394 0.759 0.453
Nd 0.137 0.548 0.177
As 0.408 0.518 0.666
Nd 0.606 0.241 0.547
Br 0.341 0.308 0.010
Br 0.236 0.130 0.397
Br 0.942 0.853 0.264
Nd 0.863 0.452 0.823
Br 0.764 0.870 0.603
As 0.592 0.482 0.334
Br 0.058 0.147 0.736

[12]
This record from the Alexandria database describes an optimized crystal structure of Mg2MnIr. The functional is PBE-GGA.

space-group type: Cm
calculated formation energy: -2.18 kcal/mol of atoms
total magnetic moment: 3.8 Bohr magnetons per cell
electronic total energy: -0.1984 hartree per atom
density of states at the Fermi level: 2.47 states/eV/f.u.

Unit cell a=5.344 b=5.344 c=4.540 alpha=65.11 beta=65.11 gamma=34.57
Fractional positions:
Ir 0.762 0.762 0.738
Mg 0.242 0.242 0.258
Mg 0.018 0.018 0.981
Mn 0.478 0.478 0.522